# 1
{"formula": "Hf3Al5Ga", "functional": "GGA-PBE", "state": "relaxed", "magnetic_moment_mub_per_fu": 0.0, "delta_e_f_mev_per_atom": 97, "dft_energy_ev_per_atom": -5.6362, "lattice_angstrom": [[-4.0733, 4.0733, 5.3047], [4.0733, -4.0733, 5.3047], [4.0733, 4.0733, -5.3047]], "species": ["Hf", "Hf", "Hf", "Hf", "Hf", "Hf", "Al", "Al", "Al", "Al", "Al", "Al", "Al", "Al", "Al", "Al", "Ga", "Ga"], "frac_coords": [[0.1175, 0.6175, 0.7350], [0.2500, 0.2500, 0.0000], [0.3825, 0.1175, 0.5000], [0.6175, 0.8825, 0.5000], [0.7500, 0.7500, 0.0000], [0.8825, 0.3825, 0.2650], [0.0000, 0.0000, 0.0000], [0.0473, 0.1699, 0.5000], [0.1699, 0.6699, 0.1225], [0.3301, 0.4527, 0.5000], [0.4527, 0.9527, 0.1225], [0.5000, 0.5000, 0.0000], [0.5473, 0.0473, 0.8775], [0.6699, 0.5473, 0.5000], [0.8301, 0.3301, 0.8775], [0.9527, 0.8301, 0.5000], [0.2500, 0.7500, 0.5000], [0.7500, 0.2500, 0.5000]]}

# 2
{"formula": "Hf2Al3Ga2", "functional": "GGA-PBE", "state": "relaxed", "magnetic_moment_mub_per_fu": 0.0, "delta_e_f_mev_per_atom": -382, "dft_energy_ev_per_atom": -5.6948, "lattice_angstrom": [[9.7593, 0.0000, 0.0000], [0.0000, 3.9747, 0.0000], [-0.8700, 0.0000, 6.2946]], "species": ["Hf", "Hf", "Hf", "Hf", "Al", "Al", "Al", "Al", "Al", "Al", "Ga", "Ga", "Ga", "Ga"], "frac_coords": [[0.1082, 0.0000, 0.3047], [0.3918, 0.5000, 0.6953], [0.6082, 0.5000, 0.3047], [0.8918, 0.0000, 0.6953], [0.0000, 0.5000, 0.0000], [0.1993, 0.0000, 0.8635], [0.3007, 0.5000, 0.1365], [0.5000, 0.0000, 0.0000], [0.6993, 0.5000, 0.8635], [0.8007, 0.0000, 0.1365], [0.1061, 0.5000, 0.6267], [0.3939, 0.0000, 0.3733], [0.6061, 0.0000, 0.6267], [0.8939, 0.5000, 0.3733]]}

# 3
{"formula": "Hf5Al3Ga3", "functional": "GGA-PBE", "state": "relaxed", "magnetic_moment_mub_per_fu": 0.0, "delta_e_f_mev_per_atom": 86, "dft_energy_ev_per_atom": -6.2841, "lattice_angstrom": [[9.2329, 0.0000, 0.0000], [-4.6165, 7.9959, 0.0000], [0.0000, 0.0000, 3.0204]], "species": ["Hf", "Hf", "Hf", "Hf", "Hf", "Al", "Al", "Al", "Ga", "Ga", "Ga"], "frac_coords": [[0.0000, 0.3114, 0.0000], [0.3114, 0.0000, 0.0000], [0.3333, 0.6667, 0.0000], [0.6667, 0.3333, 0.0000], [0.6886, 0.6886, 0.0000], [0.0000, 0.8358, 0.5000], [0.1642, 0.1642, 0.5000], [0.8358, 0.0000, 0.5000], [0.0000, 0.6052, 0.0000], [0.3948, 0.3948, 0.0000], [0.6052, 0.0000, 0.0000]]}

# 4
{"formula": "HfAl2Ga2", "functional": "GGA-PBE", "state": "relaxed", "magnetic_moment_mub_per_fu": 0.0, "delta_e_f_mev_per_atom": -114, "dft_energy_ev_per_atom": -4.8124, "lattice_angstrom": [[7.4222, 0.0000, 0.0000], [0.0000, 7.4222, 0.0000], [0.0000, 0.0000, 3.1966]], "species": ["Hf", "Hf", "Al", "Al", "Al", "Al", "Ga", "Ga", "Ga", "Ga"], "frac_coords": [[0.0000, 0.0000, 0.0000], [0.5000, 0.5000, 0.0000], [0.1661, 0.3339, 0.5000], [0.3339, 0.8339, 0.5000], [0.6661, 0.1661, 0.5000], [0.8339, 0.6661, 0.5000], [0.1325, 0.6325, 0.0000], [0.3675, 0.1325, 0.0000], [0.6325, 0.8675, 0.0000], [0.8675, 0.3675, 0.0000]]}

# 5
{"formula": "Hf6Al2Ga", "functional": "GGA-PBE", "state": "relaxed", "magnetic_moment_mub_per_fu": 0.0, "delta_e_f_mev_per_atom": 129, "dft_energy_ev_per_atom": -7.6741, "lattice_angstrom": [[-2.2841, 3.2304, 6.8532], [2.2841, -3.2304, 6.8532], [2.2841, 3.2304, -6.8532]], "species": ["Hf", "Hf", "Hf", "Hf", "Hf", "Hf", "Al", "Al", "Ga"], "frac_coords": [[0.0832, 0.3336, 0.7496], [0.2493, 0.0000, 0.2493], [0.4160, 0.6664, 0.7496], [0.5840, 0.3336, 0.2504], [0.7507, 0.0000, 0.7507], [0.9168, 0.6664, 0.2504], [0.3336, 0.8336, 0.5000], [0.6664, 0.1664, 0.5000], [0.0000, 0.5000, 0.5000]]}

# 6
{"formula": "Hf2AlGa", "functional": "GGA-PBE", "state": "relaxed", "magnetic_moment_mub_per_fu": 0.0, "delta_e_f_mev_per_atom": -444, "dft_energy_ev_per_atom": -7.1133, "lattice_angstrom": [[5.6503, 0.0000, 0.0000], [0.0000, 4.2090, 0.0000], [-1.9274, 0.0000, 6.3143]], "species": ["Hf", "Hf", "Hf", "Hf", "Al", "Al", "Ga", "Ga"], "frac_coords": [[0.1740, 0.2500, 0.4181], [0.1751, 0.2500, 0.9191], [0.8249, 0.7500, 0.0809], [0.8260, 0.7500, 0.5819], [0.3570, 0.7500, 0.7148], [0.6430, 0.2500, 0.2852], [0.3557, 0.7500, 0.2136], [0.6443, 0.2500, 0.7864]]}

# 7
{"formula": "Hf4AlGa3", "functional": "GGA-PBE", "state": "relaxed", "magnetic_moment_mub_per_fu": 0.0, "delta_e_f_mev_per_atom": -474, "dft_energy_ev_per_atom": -7.0532, "lattice_angstrom": [[3.8271, 0.0000, 0.0000], [0.0000, 3.8965, 0.0000], [0.0000, 0.0000, 10.1665]], "species": ["Hf", "Hf", "Hf", "Hf", "Al", "Ga", "Ga", "Ga"], "frac_coords": [[0.0000, 0.0000, 0.0000], [0.0000, 0.5000, 0.4980], [0.5000, 0.0000, 0.2879], [0.5000, 0.5000, 0.7890], [0.5000, 0.0000, 0.5652], [0.0000, 0.0000, 0.7260], [0.0000, 0.5000, 0.2241], [0.5000, 0.5000, 0.0620]]}

# 8
{"formula": "Hf2AlGa", "functional": "GGA-PBE", "state": "relaxed", "magnetic_moment_mub_per_fu": 0.0, "delta_e_f_mev_per_atom": -448, "dft_energy_ev_per_atom": -7.1173, "lattice_angstrom": [[4.2077, 0.0000, 0.0000], [0.0000, 3.3061, 0.0000], [0.0000, 0.0000, 10.7881]], "species": ["Hf", "Hf", "Hf", "Hf", "Al", "Al", "Ga", "Ga"], "frac_coords": [[0.0000, 0.0000, 0.0000], [0.0000, 0.5000, 0.5000], [0.5000, 0.0000, 0.3242], [0.5000, 0.5000, 0.8242], [0.5000, 0.0000, 0.5904], [0.5000, 0.5000, 0.0904], [0.0000, 0.0000, 0.7345], [0.0000, 0.5000, 0.2345]]}

# 9
{"formula": "Hf4AlGa4", "functional": "GGA-PBE", "state": "relaxed", "magnetic_moment_mub_per_fu": 0.0, "delta_e_f_mev_per_atom": -390, "dft_energy_ev_per_atom": -6.5744, "lattice_angstrom": [[7.3524, 0.0000, 0.0000], [0.0000, 5.4086, 0.0000], [-6.2562, 0.0000, 8.4551]], "species": ["Hf", "Hf", "Hf", "Hf", "Hf", "Hf", "Hf", "Hf", "Al", "Al", "Ga", "Ga", "Ga", "Ga", "Ga", "Ga", "Ga", "Ga"], "frac_coords": [[0.1726, 0.1342, 0.2011], [0.1726, 0.8658, 0.7011], [0.2649, 0.3746, 0.9159], [0.2649, 0.6254, 0.4159], [0.7351, 0.3746, 0.5841], [0.7351, 0.6254, 0.0841], [0.8274, 0.1342, 0.2989], [0.8274, 0.8658, 0.7989], [0.5000, 0.4823, 0.2500], [0.5000, 0.5177, 0.7500], [0.1168, 0.3478, 0.6040], [0.1168, 0.6522, 0.1040], [0.3486, 0.1128, 0.5283], [0.3486, 0.8872, 0.0283], [0.6514, 0.1128, 0.9717], [0.6514, 0.8872, 0.4717], [0.8832, 0.3478, 0.8960], [0.8832, 0.6522, 0.3960]]}

# 10
{"formula": "Hf4Al3Ga5", "functional": "GGA-PBE", "state": "relaxed", "magnetic_moment_mub_per_fu": 0.0, "delta_e_f_mev_per_atom": -208, "dft_energy_ev_per_atom": -5.7228, "lattice_angstrom": [[7.7960, -2.1761, 0.0000], [7.7960, 2.1761, 0.0000], [-2.0210, 0.0000, 6.4126]], "species": ["Hf", "Hf", "Hf", "Hf", "Al", "Al", "Al", "Ga", "Ga", "Ga", "Ga", "Ga"], "frac_coords": [[0.0876, 0.0876, 0.4023], [0.1584, 0.1584, 0.9134], [0.8416, 0.8416, 0.0866], [0.9124, 0.9124, 0.5977], [0.2815, 0.2815, 0.3474], [0.5000, 0.5000, 0.0000], [0.7185, 0.7185, 0.6526], [0.0000, 0.0000, 0.0000], [0.3149, 0.3149, 0.7706], [0.4427, 0.4427, 0.3299], [0.5573, 0.5573, 0.6701], [0.6851, 0.6851, 0.2294]]}

# 11
{"formula": "HfAl2Ga2", "functional": "GGA-PBE", "state": "relaxed", "magnetic_moment_mub_per_fu": 0.0, "delta_e_f_mev_per_atom": -64, "dft_energy_ev_per_atom": -4.7629, "lattice_angstrom": [[7.4521, 0.0000, 0.0000], [0.0000, 7.4521, 0.0000], [0.0000, 0.0000, 3.1970]], "species": ["Hf", "Hf", "Al", "Al", "Al", "Al", "Ga", "Ga", "Ga", "Ga"], "frac_coords": [[0.0000, 0.0000, 0.0000], [0.5000, 0.5000, 0.0000], [0.1272, 0.3728, 0.0000], [0.3728, 0.8728, 0.0000], [0.6272, 0.1272, 0.0000], [0.8728, 0.6272, 0.0000], [0.1719, 0.6719, 0.5000], [0.3281, 0.1719, 0.5000], [0.6719, 0.8281, 0.5000], [0.8281, 0.3281, 0.5000]]}

# 12
{"formula": "HfAlGa", "functional": "GGA-PBE", "state": "relaxed", "magnetic_moment_mub_per_fu": 0.0, "delta_e_f_mev_per_atom": -422, "dft_energy_ev_per_atom": -5.9968, "lattice_angstrom": [[4.0025, 0.0000, 0.0000], [0.0000, 12.7859, 0.0000], [0.0000, 0.0000, 4.1243]], "species": ["Hf", "Hf", "Hf", "Hf", "Al", "Al", "Al", "Al", "Ga", "Ga", "Ga", "Ga"], "frac_coords": [[0.0000, 0.1539, 0.0000], [0.0000, 0.8461, 0.0000], [0.5000, 0.3461, 0.0000], [0.5000, 0.6539, 0.0000], [0.0000, 0.0000, 0.5000], [0.0000, 0.5000, 0.0000], [0.5000, 0.0000, 0.0000], [0.5000, 0.5000, 0.5000], [0.0000, 0.3283, 0.5000], [0.0000, 0.6717, 0.5000], [0.5000, 0.1717, 0.5000], [0.5000, 0.8283, 0.5000]]}